VASP calculation (PBE) on crystalline Pm3Ga2Rh3 at its relaxed geometry.

Calculated values
energy above the lowest structure with this stoichiometry = 0.0 meV/atom

Lattice parameters (Å, degrees): 7.7151 15.1765 5.8123 90.00 90.00 90.00
Space group Pnma (No. 62)
One atom of each set of equivalent atoms:
Pm: 0.0332 0.1052 0.1453 (multiplicity 8)
Pm: 0.1765 0.2500 0.6048 (multiplicity 4)
Ga: 0.1159 0.6038 0.3614 (multiplicity 8)
Rh: 0.1743 0.7500 0.5981 (multiplicity 4)
Rh: 0.1796 0.0365 0.5858 (multiplicity 8)


VASP calculation (PBE) on crystalline Pm2Ga12Rh at its relaxed geometry.

Lattice parameters (Å, degrees): 6.0929 6.0929 15.6286 90.00 90.00 90.00
Space group P4/nbm (No. 125, origin choice 2)
One atom of each set of equivalent atoms:
Pm: 0.2500 0.7500 0.2413 (multiplicity 4)
Ga: 0.9999 0.0001 0.0873 (multiplicity 8)
Ga: 0.0818 0.5818 0.4315 (multiplicity 8)
Ga: 0.2500 0.2500 0.1892 (multiplicity 4)
Ga: 0.2500 0.2500 0.3465 (multiplicity 4)
Rh: 0.2500 0.7500 0.0000 (multiplicity 2)


VASP calculation (PBE) on crystalline Pm2GaRh2 at its relaxed geometry.

Calculated values
energy above the lowest structure with this stoichiometry = 175.3 meV/atom

Lattice parameters (Å, degrees): 6.8949 11.0783 6.0357 90.00 90.00 90.00
Space group Ibam (No. 72)
One atom of each set of equivalent atoms:
Pm: 0.1635 0.1447 0.0000 (multiplicity 8)
Ga: 0.0000 0.5000 0.2500 (multiplicity 4)
Rh: 0.2388 0.3922 0.0000 (multiplicity 8)


VASP calculation (PBE) on crystalline Pm12GaRh7 at its relaxed geometry.

Lattice parameters (Å, degrees): 14.8109 14.8109 8.7232 90.00 90.00 120.00
Space group R-3 (No. 148, hexagonal axes)
One atom of each set of equivalent atoms:
Pm: 0.0191 0.5828 0.3207 (multiplicity 18)
Pm: 0.0398 0.8771 0.2773 (multiplicity 18)
Ga: 0.0000 0.0000 0.0000 (multiplicity 3)
Rh: 0.0000 0.0000 0.5000 (multiplicity 3)
Rh: 0.0463 0.8568 0.9178 (multiplicity 18)


VASP calculation (PBE) on crystalline PmGa2Rh2 at its relaxed geometry.

Calculated values
energy above the lowest structure with this stoichiometry = 5.6 meV/atom

Lattice parameters (Å, degrees): 4.3131 4.3131 10.0125 90.00 90.00 90.00
Space group P4/nmm (No. 129, origin choice 2)
One atom of each set of equivalent atoms:
Pm: 0.2500 0.2500 0.2387 (multiplicity 2)
Ga: 0.2500 0.2500 0.8742 (multiplicity 2)
Ga: 0.2500 0.7500 0.5000 (multiplicity 2)
Rh: 0.2500 0.2500 0.6277 (multiplicity 2)
Rh: 0.2500 0.7500 0.0000 (multiplicity 2)


VASP calculation (PBE) on crystalline PmGaRh3 at its relaxed geometry.

Lattice parameters (Å, degrees): 5.4679 7.5900 8.6998 90.00 90.00 90.00
Space group Imma (No. 74)
One atom of each set of equivalent atoms:
Pm: 0.0000 0.2500 0.0080 (multiplicity 4)
Ga: 0.0000 0.0000 0.5000 (multiplicity 4)
Rh: 0.0000 0.2500 0.6897 (multiplicity 4)
Rh: 0.2500 0.0496 0.2500 (multiplicity 8)


VASP calculation (PBE) on crystalline PmGaRh4 at its relaxed geometry.

Calculated values
energy above the lowest structure with this stoichiometry = 4.1 meV/atom

Lattice parameters (Å, degrees): 7.4720 3.9745 6.8824 90.00 90.00 90.00
Space group Pmma (No. 51)
One atom of each set of equivalent atoms:
Pm: 0.2500 0.0000 0.1520 (multiplicity 2)
Ga: 0.2500 0.0000 0.7274 (multiplicity 2)
Rh: 0.0000 0.0000 0.5000 (multiplicity 2)
Rh: 0.0487 0.5000 0.8071 (multiplicity 4)
Rh: 0.2500 0.5000 0.4570 (multiplicity 2)


VASP calculation (PBE) on crystalline Pm5GaRh2 at its relaxed geometry.

Lattice parameters (Å, degrees): 7.8982 7.8982 13.4508 90.00 90.00 90.00
Space group I4/mcm (No. 140)
One atom of each set of equivalent atoms:
Pm: 0.0000 0.0000 0.0000 (multiplicity 4)
Pm: 0.1632 0.3368 0.1395 (multiplicity 16)
Ga: 0.0000 0.0000 0.2500 (multiplicity 4)
Rh: 0.1353 0.3647 0.5000 (multiplicity 8)


VASP calculation (PBE) on crystalline Pm2Ga4Rh3 at its relaxed geometry.

Lattice parameters (Å, degrees): 5.9244 14.9760 7.4650 90.00 90.00 90.00
Space group Cmce (No. 64)
One atom of each set of equivalent atoms:
Pm: 0.0000 0.1204 0.0849 (multiplicity 8)
Ga: 0.0000 0.1771 0.4810 (multiplicity 8)
Ga: 0.2500 0.0529 0.7500 (multiplicity 8)
Rh: 0.0000 0.0000 0.5000 (multiplicity 4)
Rh: 0.2500 0.2249 0.7500 (multiplicity 8)


VASP calculation (PBE) on crystalline Pm3Ga8Rh3 at its relaxed geometry.

Lattice parameters (Å, degrees): 4.2786 9.8876 12.4524 90.00 90.00 90.00
Space group Immm (No. 71)
One atom of each set of equivalent atoms:
Pm: 0.0000 0.0000 0.0000 (multiplicity 2)
Pm: 0.0000 0.0000 0.3255 (multiplicity 4)
Ga: 0.0000 0.2826 0.1216 (multiplicity 8)
Ga: 0.0000 0.3681 0.3316 (multiplicity 8)
Rh: 0.0000 0.2192 0.5000 (multiplicity 4)
Rh: 0.0000 0.5000 0.0000 (multiplicity 2)


VASP calculation (PBE) on crystalline PmGaRh2 at its relaxed geometry.

Lattice parameters (Å, degrees): 5.8652 7.2796 8.3240 90.00 90.00 90.00
Space group Pmma (No. 51)
One atom of each set of equivalent atoms:
Pm: 0.2500 0.0000 0.1792 (multiplicity 2)
Pm: 0.2500 0.5000 0.2903 (multiplicity 2)
Ga: 0.2500 0.0000 0.7542 (multiplicity 2)
Ga: 0.2500 0.5000 0.7759 (multiplicity 2)
Rh: 0.0000 0.0000 0.5000 (multiplicity 2)
Rh: 0.0000 0.5000 0.0000 (multiplicity 2)
Rh: 0.2500 0.2942 0.5513 (multiplicity 4)


VASP calculation (PBE) on crystalline Pm4Ga12Rh at its relaxed geometry.

Lattice parameters (Å, degrees): 8.7420 8.7420 8.7420 90.00 90.00 90.00
Space group Im-3m (No. 229)
One atom of each set of equivalent atoms:
Pm: 0.2500 0.2500 0.2500 (multiplicity 8)
Ga: 0.0000 0.0000 0.2913 (multiplicity 12)
Ga: 0.0000 0.2500 0.5000 (multiplicity 12)
Rh: 0.0000 0.0000 0.0000 (multiplicity 2)


VASP calculation (PBE) on crystalline Pm2Ga3Rh at its relaxed geometry.

Calculated values
energy above the lowest structure with this stoichiometry = 0.0 meV/atom

Lattice parameters (Å, degrees): 3.8708 4.3507 7.7309 90.00 90.00 90.00
Space group Pmm2 (No. 25)
One atom of each set of equivalent atoms:
Pm: 0.0000 0.0000 0.0000 (multiplicity 1)
Pm: 0.0000 0.5000 0.4686 (multiplicity 1)
Ga: 0.5000 0.0000 0.6466 (multiplicity 1)
Ga: 0.5000 0.5000 0.1495 (multiplicity 1)
Ga: 0.5000 0.5000 0.8171 (multiplicity 1)
Rh: 0.5000 0.0000 0.3148 (multiplicity 1)


VASP calculation (PBE) on crystalline Pm2Ga3Rh at its relaxed geometry.

Calculated values
energy above the lowest structure with this stoichiometry = 18.6 meV/atom

Lattice parameters (Å, degrees): 5.6409 5.6409 8.7045 90.00 90.00 120.00
Space group P6_3/mmc (No. 194)
One atom of each set of equivalent atoms:
Pm: 0.3333 0.6667 0.0510 (multiplicity 4)
Ga: 0.1616 0.3232 0.7500 (multiplicity 6)
Rh: 0.0000 0.0000 0.0000 (multiplicity 2)


VASP calculation (PBE) on crystalline PmGaRh2 at its relaxed geometry.

Lattice parameters (Å, degrees): 3.3282 3.3282 6.4224 90.00 90.00 90.00
Space group P4/mmm (No. 123)
One atom of each set of equivalent atoms:
Pm: 0.0000 0.0000 0.0000 (multiplicity 1)
Ga: 0.0000 0.0000 0.5000 (multiplicity 1)
Rh: 0.5000 0.5000 0.2863 (multiplicity 2)


VASP calculation (PBE) on crystalline Pm3Ga4Rh2 at its relaxed geometry.

Calculated values
energy above the lowest structure with this stoichiometry = 0.0 meV/atom

Lattice parameters (Å, degrees): 11.1032 4.2928 8.6557 90.00 111.82 90.00
Space group C2/m (No. 12)
One atom of each set of equivalent atoms:
Pm: 0.0000 0.0000 0.0000 (multiplicity 2)
Pm: 0.1847 0.5000 0.6396 (multiplicity 4)
Ga: 0.0214 0.0000 0.3590 (multiplicity 4)
Ga: 0.2362 0.5000 0.0770 (multiplicity 4)
Rh: 0.1030 0.5000 0.2679 (multiplicity 4)


VASP calculation (PBE) on crystalline Pm2Ga5Rh3 at its relaxed geometry.

Lattice parameters (Å, degrees): 10.0543 12.8400 5.7478 90.00 90.00 90.00
Space group Ibam (No. 72)
One atom of each set of equivalent atoms:
Pm: 0.2267 0.1382 0.0000 (multiplicity 8)
Ga: 0.0000 0.0000 0.2500 (multiplicity 4)
Ga: 0.0000 0.2952 0.2500 (multiplicity 8)
Ga: 0.1731 0.4099 0.0000 (multiplicity 8)
Rh: 0.0000 0.5000 0.2500 (multiplicity 4)
Rh: 0.0906 0.1481 0.5000 (multiplicity 8)


VASP calculation (PBE) on crystalline PmGaRh4 at its relaxed geometry.

Calculated values
energy above the lowest structure with this stoichiometry = 0.0 meV/atom

Lattice parameters (Å, degrees): 7.4537 7.4537 7.4537 90.00 90.00 90.00
Space group F-43m (No. 216)
One atom of each set of equivalent atoms:
Pm: 0.0000 0.0000 0.0000 (multiplicity 4)
Ga: 0.2500 0.2500 0.7500 (multiplicity 4)
Rh: 0.1241 0.1241 0.3759 (multiplicity 16)


VASP calculation (PBE) on crystalline Pm2GaRh at its relaxed geometry.

Lattice parameters (Å, degrees): 3.6427 3.6427 7.0022 90.00 90.00 90.00
Space group P4/mmm (No. 123)
One atom of each set of equivalent atoms:
Pm: 0.0000 0.0000 0.2364 (multiplicity 2)
Ga: 0.5000 0.5000 0.5000 (multiplicity 1)
Rh: 0.5000 0.5000 0.0000 (multiplicity 1)


no.,DOS at the Fermi energy (states/eV/cell),theoretical density (kg/m3),formation energy (eV per atom)
1,22.5,8620,-0.780
2,7.0,7038,-0.445
3,8.8,8148,-0.629
4,44.3,7606,-0.536
5,7.7,8741,-0.806
6,16.3,9630,-0.545
7,13.0,10177,-0.404
8,35.1,7920,-0.554
9,19.7,8801,-0.772
10,16.7,8205,-0.713
11,14.0,7859,-0.175
12,18.0,7554,-0.635
13,4.3,7679,-0.719
14,8.6,8336,-0.700
15,1.7,9816,-0.606
16,12.7,7975,-0.742
17,17.6,8480,-0.808
18,32.1,10046,-0.408
19,2.6,8268,-0.619